VASP calculation (GGA+U) on a relaxed Li4MgCo3O8 crystal.

The space group is R-3m (No. 166, hexagonal axes) and the conventional cell measures 5.7221, 5.7221 and 14.2388 Å, with angles of 90.00, 90.00 and 120.00 degrees. The asymmetric unit holds Li at (0.0000, 0.0000, 0.0000), Li at (0.0000, 0.5000, 0.0000), Mg at (0.0000, 0.0000, 0.5000), Co at (0.0000, 0.5000, 0.5000), O at (0.0000, 0.0000, 0.2391) and O at (0.0160, 0.5080, 0.7594).

As for the total energy: -268.92 eV per cell.